Entry from the Alexandria database: crystalline Tc3Ni at its relaxed geometry (PBEsol).

Geometry as CIF:
```
data_Tc3Ni
_space_group_name_H-M_alt 'P m -3 m'
_space_group_IT_number 221
_space_group_name_Hall '-P 4 2 3'
_cell_length_a 4.3660
_cell_length_b 4.3660
_cell_length_c 4.3660
_cell_angle_alpha 90.00
_cell_angle_beta 90.00
_cell_angle_gamma 90.00
loop_
_atom_site_label
_atom_site_type_symbol
_atom_site_fract_x
_atom_site_fract_y
_atom_site_fract_z
_atom_site_occupancy
Tc1 Tc 0.0000 0.0000 0.5000 1
Ni1 Ni 0.0000 0.0000 0.0000 1
```

## Properties
**Crystal system**: cubic
**DFT formation energy**: 2663 meV/atom
**Excess energy over the best structure of this formula in the dataset**: 2.760 eV/atom

=====

Entry from the Alexandria database: crystalline TcNi at its relaxed geometry (PBEsol).

Geometry as CIF:
```
data_TcNi
_space_group_name_H-M_alt 'P 63/m m c'
_space_group_IT_number 194
_space_group_name_Hall '-P 6c 2c'
_cell_length_a 3.7142
_cell_length_b 3.7142
_cell_length_c 4.5582
_cell_angle_alpha 90.00
_cell_angle_beta 90.00
_cell_angle_gamma 120.00
loop_
_atom_site_label
_atom_site_type_symbol
_atom_site_fract_x
_atom_site_fract_y
_atom_site_fract_z
_atom_site_occupancy
Tc1 Tc 0.3333 0.6667 0.2500 1
Ni1 Ni 0.0000 0.0000 0.0000 1
```

## Properties
**Crystal system**: hexagonal
**DFT formation energy**: 837 meV/atom
**Excess energy over the best structure of this formula in the dataset**: 0.895 eV/atom

=====

Entry from the Alexandria database: crystalline TcNi3 at its relaxed geometry (PBEsol).

Geometry as CIF:
```
data_TcNi3
_space_group_name_H-M_alt 'F m -3 m'
_space_group_IT_number 225
_space_group_name_Hall '-F 4 2 3'
_cell_length_a 5.6518
_cell_length_b 5.6518
_cell_length_c 5.6518
_cell_angle_alpha 90.00
_cell_angle_beta 90.00
_cell_angle_gamma 90.00
loop_
_atom_site_label
_atom_site_type_symbol
_atom_site_fract_x
_atom_site_fract_y
_atom_site_fract_z
_atom_site_occupancy
Tc1 Tc 0.0000 0.0000 0.0000 1
Ni1 Ni 0.0000 0.0000 0.5000 1
Ni2 Ni 0.2500 0.2500 0.2500 1
```

## Properties
**Crystal system**: cubic
**DFT formation energy**: 140 meV/atom

=====

Entry from the Alexandria database: crystalline Tc5Ni at its relaxed geometry (PBEsol).

Geometry as CIF:
```
data_Tc5Ni
_space_group_name_H-M_alt 'C 1 m 1'
_space_group_IT_number 8
_space_group_name_Hall 'C -2y'
_cell_length_a 9.7125
_cell_length_b 2.7067
_cell_length_c 6.3017
_cell_angle_alpha 90.00
_cell_angle_beta 104.16
_cell_angle_gamma 90.00
loop_
_atom_site_label
_atom_site_type_symbol
_atom_site_fract_x
_atom_site_fract_y
_atom_site_fract_z
_atom_site_occupancy
Tc1 Tc 0.0000 0.0000 0.0000 1
Tc2 Tc 0.0534 0.0000 0.6044 1
Tc3 Tc 0.2169 0.5000 0.9466 1
Tc4 Tc 0.3272 0.0000 0.6633 1
Tc5 Tc 0.3810 0.0000 0.2787 1
Ni1 Ni 0.1613 0.5000 0.3324 1
```

## Properties
**Crystal system**: monoclinic
**DFT formation energy**: 5 meV/atom
**Excess energy over the best structure of this formula in the dataset**: 0.049 eV/atom

=====

Entry from the Alexandria database: crystalline TcNi3 at its relaxed geometry (PBEsol).

Geometry as CIF:
```
data_TcNi3
_space_group_name_H-M_alt 'C m m m'
_space_group_IT_number 65
_space_group_name_Hall '-C 2 2'
_cell_length_a 4.9983
_cell_length_b 7.1989
_cell_length_c 2.5114
_cell_angle_alpha 90.00
_cell_angle_beta 90.00
_cell_angle_gamma 90.00
loop_
_atom_site_label
_atom_site_type_symbol
_atom_site_fract_x
_atom_site_fract_y
_atom_site_fract_z
_atom_site_occupancy
Tc1 Tc 0.0000 0.0000 0.0000 1
Ni1 Ni 0.0000 0.5000 0.0000 1
Ni2 Ni 0.2500 0.2500 0.5000 1
```

## Properties
**Crystal system**: orthorhombic
**DFT formation energy**: 80 meV/atom

=====

Entry from the Alexandria database: crystalline Tc3Ni at its relaxed geometry (PBEsol).

Geometry as CIF:
```
data_Tc3Ni
_space_group_name_H-M_alt 'P 63/m m c'
_space_group_IT_number 194
_space_group_name_Hall '-P 6c 2c'
_cell_length_a 5.2910
_cell_length_b 5.2910
_cell_length_c 8.5717
_cell_angle_alpha 90.00
_cell_angle_beta 90.00
_cell_angle_gamma 120.00
loop_
_atom_site_label
_atom_site_type_symbol
_atom_site_fract_x
_atom_site_fract_y
_atom_site_fract_z
_atom_site_occupancy
Tc1 Tc 0.0000 0.5000 0.0000 1
Tc2 Tc 0.1661 0.3322 0.2500 1
Ni1 Ni 0.0000 0.0000 0.0000 1
Ni2 Ni 0.3333 0.6667 0.7500 1
```

## Properties
**Crystal system**: hexagonal
**DFT formation energy**: -61 meV/atom
**Excess energy over the best structure of this formula in the dataset**: 0.036 eV/atom

=====

Entry from the Alexandria database: crystalline TcNi3 at its relaxed geometry (PBEsol).

Geometry as CIF:
```
data_TcNi3
_space_group_name_H-M_alt 'P 4/m m m'
_space_group_IT_number 123
_space_group_name_Hall '-P 4 2'
_cell_length_a 2.5296
_cell_length_b 2.5296
_cell_length_c 7.0232
_cell_angle_alpha 90.00
_cell_angle_beta 90.00
_cell_angle_gamma 90.00
loop_
_atom_site_label
_atom_site_type_symbol
_atom_site_fract_x
_atom_site_fract_y
_atom_site_fract_z
_atom_site_occupancy
Tc1 Tc 0.0000 0.0000 0.0000 1
Ni1 Ni 0.0000 0.0000 0.5000 1
Ni2 Ni 0.5000 0.5000 0.2590 1
```

## Properties
**Crystal system**: tetragonal
**DFT formation energy**: 1 meV/atom

=====

Entry from the Alexandria database: crystalline Tc3Ni at its relaxed geometry (PBEsol).

Geometry as CIF:
```
data_Tc3Ni
_space_group_name_H-M_alt 'P m m n'
_space_group_IT_number 59
_cell_length_a 4.2539
_cell_length_b 5.3260
_cell_length_c 4.5874
_cell_angle_alpha 90.00
_cell_angle_beta 90.00
_cell_angle_gamma 90.00
loop_
_space_group_symop_operation_xyz
'x,y,z'
'-x,-y,-z'
'-x+1/2,-y+1/2,z'
'x+1/2,y+1/2,-z'
'x+1/2,-y,-z'
'-x+1/2,y,z'
'-x,y+1/2,-z'
'x,-y+1/2,z'
loop_
_atom_site_label
_atom_site_type_symbol
_atom_site_fract_x
_atom_site_fract_y
_atom_site_fract_z
_atom_site_occupancy
Tc1 Tc 0.2500 0.0026 0.1714 1
Tc2 Tc 0.2500 0.7500 0.6647 1
Ni1 Ni 0.2500 0.2500 0.6696 1
```

## Properties
**Crystal system**: orthorhombic
**DFT formation energy**: -97 meV/atom
**Excess energy over the best structure of this formula in the dataset**: 0.000 eV/atom

=====

Entry from the Alexandria database: crystalline TcNi5 at its relaxed geometry (PBEsol).

Geometry as CIF:
```
data_TcNi5
_space_group_name_H-M_alt 'C 1 m 1'
_space_group_IT_number 8
_space_group_name_Hall 'C -2y'
_cell_length_a 9.1874
_cell_length_b 2.5214
_cell_length_c 5.8743
_cell_angle_alpha 90.00
_cell_angle_beta 105.07
_cell_angle_gamma 90.00
loop_
_atom_site_label
_atom_site_type_symbol
_atom_site_fract_x
_atom_site_fract_y
_atom_site_fract_z
_atom_site_occupancy
Tc1 Tc 0.0000 0.0000 0.0000 1
Ni1 Ni 0.1142 0.5000 0.7233 1
Ni2 Ni 0.1696 0.5000 0.3375 1
Ni3 Ni 0.2784 0.0000 0.0626 1
Ni4 Ni 0.3346 0.0000 0.6641 1
Ni5 Ni 0.4496 0.5000 0.3933 1
```

## Properties
**Crystal system**: monoclinic
**DFT formation energy**: 33 meV/atom
**Excess energy over the best structure of this formula in the dataset**: 0.030 eV/atom

=====

Entry from the Alexandria database: crystalline Tc3Ni at its relaxed geometry (PBEsol).

Geometry as CIF:
```
data_Tc3Ni
_space_group_name_H-M_alt 'P m m 2'
_space_group_IT_number 25
_space_group_name_Hall 'P 2 -2'
_cell_length_a 2.6862
_cell_length_b 4.2202
_cell_length_c 4.6149
_cell_angle_alpha 90.00
_cell_angle_beta 90.00
_cell_angle_gamma 90.00
loop_
_atom_site_label
_atom_site_type_symbol
_atom_site_fract_x
_atom_site_fract_y
_atom_site_fract_z
_atom_site_occupancy
Tc1 Tc 0.0000 0.0000 0.0000 1
Tc2 Tc 0.0000 0.5000 0.3347 1
Tc3 Tc 0.5000 0.5000 0.8204 1
Ni1 Ni 0.5000 0.0000 0.4899 1
```

## Properties
**Crystal system**: orthorhombic
**DFT formation energy**: -20 meV/atom
**Excess energy over the best structure of this formula in the dataset**: 0.077 eV/atom

=====

Entry from the Alexandria database: crystalline TcNi at its relaxed geometry (PBEsol).

Geometry as CIF:
```
data_TcNi
_space_group_name_H-M_alt 'C 1 m 1'
_space_group_IT_number 8
_space_group_name_Hall 'C -2y'
_cell_length_a 9.3677
_cell_length_b 2.6208
_cell_length_c 6.1547
_cell_angle_alpha 90.00
_cell_angle_beta 104.90
_cell_angle_gamma 90.00
loop_
_atom_site_label
_atom_site_type_symbol
_atom_site_fract_x
_atom_site_fract_y
_atom_site_fract_z
_atom_site_occupancy
Tc1 Tc 0.0000 0.0000 0.0000 1
Tc2 Tc 0.0455 0.0000 0.6127 1
Tc3 Tc 0.3769 0.0000 0.2759 1
Ni1 Ni 0.1597 0.5000 0.3334 1
Ni2 Ni 0.2193 0.5000 0.9402 1
Ni3 Ni 0.3233 0.0000 0.6700 1
```

## Properties
**Crystal system**: monoclinic
**DFT formation energy**: 18 meV/atom
**Excess energy over the best structure of this formula in the dataset**: 0.077 eV/atom

=====

Entry from the Alexandria database: crystalline Tc3Ni at its relaxed geometry (PBEsol).

Geometry as CIF:
```
data_Tc3Ni
_space_group_name_H-M_alt 'F m -3 m'
_space_group_IT_number 225
_space_group_name_Hall '-F 4 2 3'
_cell_length_a 5.9617
_cell_length_b 5.9617
_cell_length_c 5.9617
_cell_angle_alpha 90.00
_cell_angle_beta 90.00
_cell_angle_gamma 90.00
loop_
_atom_site_label
_atom_site_type_symbol
_atom_site_fract_x
_atom_site_fract_y
_atom_site_fract_z
_atom_site_occupancy
Tc1 Tc 0.0000 0.0000 0.0000 1
Tc2 Tc 0.2500 0.2500 0.2500 1
Ni1 Ni 0.0000 0.0000 0.5000 1
```

## Properties
**Crystal system**: cubic
**DFT formation energy**: 222 meV/atom
**Excess energy over the best structure of this formula in the dataset**: 0.319 eV/atom

=====

Entry from the Alexandria database: crystalline TcNi7 at its relaxed geometry (PBEsol).

Geometry as CIF:
```
data_TcNi7
_space_group_name_H-M_alt 'F m -3 m'
_space_group_IT_number 225
_space_group_name_Hall '-F 4 2 3'
_cell_length_a 7.0268
_cell_length_b 7.0268
_cell_length_c 7.0268
_cell_angle_alpha 90.00
_cell_angle_beta 90.00
_cell_angle_gamma 90.00
loop_
_atom_site_label
_atom_site_type_symbol
_atom_site_fract_x
_atom_site_fract_y
_atom_site_fract_z
_atom_site_occupancy
Tc1 Tc 0.0000 0.0000 0.0000 1
Ni1 Ni 0.0000 0.0000 0.5000 1
Ni2 Ni 0.0000 0.2500 0.2500 1
```

## Properties
**Crystal system**: cubic
**DFT formation energy**: 66 meV/atom

=====

Entry from the Alexandria database: crystalline TcNi3 at its relaxed geometry (PBEsol).

Geometry as CIF:
```
data_TcNi3
_space_group_name_H-M_alt 'P n m a'
_space_group_IT_number 62
_space_group_name_Hall '-P 2ac 2n'
_cell_length_a 4.3377
_cell_length_b 8.2177
_cell_length_c 5.0623
_cell_angle_alpha 90.00
_cell_angle_beta 90.00
_cell_angle_gamma 90.00
loop_
_atom_site_label
_atom_site_type_symbol
_atom_site_fract_x
_atom_site_fract_y
_atom_site_fract_z
_atom_site_occupancy
Tc1 Tc 0.0785 0.2500 0.1224 1
Ni1 Ni 0.0856 0.2500 0.6358 1
Ni2 Ni 0.2493 0.9999 0.3801 1
```

## Properties
**Crystal system**: orthorhombic
**DFT formation energy**: 45 meV/atom

=====

Entry from the Alexandria database: crystalline Tc5Ni at its relaxed geometry (PBEsol).

Geometry as CIF:
```
data_Tc5Ni
_space_group_name_H-M_alt 'P -6 2 m'
_space_group_IT_number 189
_space_group_name_Hall 'P -6 -2'
_cell_length_a 4.6598
_cell_length_b 4.6598
_cell_length_c 4.2562
_cell_angle_alpha 90.00
_cell_angle_beta 90.00
_cell_angle_gamma 120.00
loop_
_atom_site_label
_atom_site_type_symbol
_atom_site_fract_x
_atom_site_fract_y
_atom_site_fract_z
_atom_site_occupancy
Tc1 Tc 0.0000 0.6746 0.0000 1
Tc2 Tc 0.3333 0.6667 0.5000 1
Ni1 Ni 0.0000 0.0000 0.5000 1
```

## Properties
**Crystal system**: hexagonal
**DFT formation energy**: -44 meV/atom
**Excess energy over the best structure of this formula in the dataset**: 0.000 eV/atom

=====

Entry from the Alexandria database: crystalline Tc3Ni at its relaxed geometry (PBEsol).

Geometry as CIF:
```
data_Tc3Ni
_space_group_name_H-M_alt 'R -3 m'
_space_group_IT_number 166
_space_group_name_Hall '-R 3 2"'
_cell_length_a 8.4815
_cell_length_b 8.4815
_cell_length_c 2.5566
_cell_angle_alpha 90.00
_cell_angle_beta 90.00
_cell_angle_gamma 120.00
loop_
_atom_site_label
_atom_site_type_symbol
_atom_site_fract_x
_atom_site_fract_y
_atom_site_fract_z
_atom_site_occupancy
Tc1 Tc 0.0000 0.5000 0.0000 1
Ni1 Ni 0.0000 0.0000 0.0000 1
```

## Properties
**Crystal system**: trigonal
**DFT formation energy**: 232 meV/atom
**Excess energy over the best structure of this formula in the dataset**: 0.329 eV/atom

=====

Entry from the Alexandria database: crystalline TcNi at its relaxed geometry (PBEsol).

Geometry as CIF:
```
data_TcNi
_space_group_name_H-M_alt 'I 41/a m d'
_space_group_IT_number 141
_cell_length_a 3.6629
_cell_length_b 3.6629
_cell_length_c 7.2529
_cell_angle_alpha 90.00
_cell_angle_beta 90.00
_cell_angle_gamma 90.00
loop_
_space_group_symop_operation_xyz
'x,y,z'
'-x,-y,-z'
'-y+1/4,x+3/4,z+1/4'
'y+1/4,-x+3/4,-z+1/4'
'-x+1/2,-y,z+1/2'
'x+1/2,y,-z+1/2'
'y+1/4,-x+1/4,z+3/4'
'-y+1/4,x+1/4,-z+3/4'
'x,-y,-z'
'-x,y,z'
'-y+1/4,-x+1/4,-z+3/4'
'y+1/4,x+1/4,z+3/4'
'-x+1/2,y,-z+1/2'
'x+1/2,-y,z+1/2'
'y+1/4,x+3/4,-z+1/4'
'-y+1/4,-x+3/4,z+1/4'
'x+1/2,y+1/2,z+1/2'
'-x+1/2,-y+1/2,-z+1/2'
'-y+3/4,x+1/4,z+3/4'
'y+3/4,-x+1/4,-z+3/4'
'-x,-y+1/2,z'
'x,y+1/2,-z'
'y+3/4,-x+3/4,z+1/4'
'-y+3/4,x+3/4,-z+1/4'
'x+1/2,-y+1/2,-z+1/2'
'-x+1/2,y+1/2,z+1/2'
'-y+3/4,-x+3/4,-z+1/4'
'y+3/4,x+3/4,z+1/4'
'-x,y+1/2,-z'
'x,-y+1/2,z'
'y+3/4,x+1/4,-z+3/4'
'-y+3/4,-x+1/4,z+3/4'
loop_
_atom_site_label
_atom_site_type_symbol
_atom_site_fract_x
_atom_site_fract_y
_atom_site_fract_z
_atom_site_occupancy
Tc1 Tc 0.0000 0.2500 0.3750 1
Ni1 Ni 0.0000 0.2500 0.8750 1
```

## Properties
**Crystal system**: tetragonal
**DFT formation energy**: -4 meV/atom
**Excess energy over the best structure of this formula in the dataset**: 0.054 eV/atom

=====

Entry from the Alexandria database: crystalline Tc6Ni7 at its relaxed geometry (PBEsol).

Geometry as CIF:
```
data_Tc6Ni7
_space_group_name_H-M_alt 'R -3 m'
_space_group_IT_number 166
_space_group_name_Hall '-R 3 2"'
_cell_length_a 4.6179
_cell_length_b 4.6179
_cell_length_c 25.0605
_cell_angle_alpha 90.00
_cell_angle_beta 90.00
_cell_angle_gamma 120.00
loop_
_atom_site_label
_atom_site_type_symbol
_atom_site_fract_x
_atom_site_fract_y
_atom_site_fract_z
_atom_site_occupancy
Tc1 Tc 0.0000 0.0000 0.0473 1
Tc2 Tc 0.0000 0.0000 0.1501 1
Tc3 Tc 0.0000 0.0000 0.3330 1
Ni1 Ni 0.0000 0.0000 0.5000 1
Ni2 Ni 0.0031 0.5015 0.9103 1
```

## Properties
**Crystal system**: trigonal
**DFT formation energy**: 11 meV/atom

=====

Entry from the Alexandria database: crystalline Tc5Ni at its relaxed geometry (PBEsol).

Geometry as CIF:
```
data_Tc5Ni
_space_group_name_H-M_alt 'A m m 2'
_space_group_IT_number 38
_space_group_name_Hall 'A 2 -2'
_cell_length_a 4.2575
_cell_length_b 2.7002
_cell_length_c 13.9724
_cell_angle_alpha 90.00
_cell_angle_beta 90.00
_cell_angle_gamma 90.00
loop_
_atom_site_label
_atom_site_type_symbol
_atom_site_fract_x
_atom_site_fract_y
_atom_site_fract_z
_atom_site_occupancy
Tc1 Tc 0.0000 0.0000 0.0000 1
Tc2 Tc 0.0000 0.0000 0.3271 1
Tc3 Tc 0.5000 0.0000 0.2181 1
Tc4 Tc 0.5000 0.0000 0.5562 1
Tc5 Tc 0.5000 0.0000 0.8887 1
Ni1 Ni 0.0000 0.0000 0.6672 1
```

## Properties
**Crystal system**: orthorhombic
**DFT formation energy**: -11 meV/atom
**Excess energy over the best structure of this formula in the dataset**: 0.033 eV/atom

=====

Entry from the Alexandria database: crystalline Tc5Ni4 at its relaxed geometry (PBEsol).

Geometry as CIF:
```
data_Tc5Ni4
_space_group_name_H-M_alt 'I 4/m m m'
_space_group_IT_number 139
_space_group_name_Hall '-I 4 2'
_cell_length_a 7.7820
_cell_length_b 7.7820
_cell_length_c 3.6688
_cell_angle_alpha 90.00
_cell_angle_beta 90.00
_cell_angle_gamma 90.00
loop_
_atom_site_label
_atom_site_type_symbol
_atom_site_fract_x
_atom_site_fract_y
_atom_site_fract_z
_atom_site_occupancy
Tc1 Tc 0.0000 0.0000 0.0000 1
Tc2 Tc 0.1695 0.1695 0.5000 1
Ni1 Ni 0.0000 0.3369 0.0000 1
```

## Properties
**Crystal system**: tetragonal
**DFT formation energy**: -26 meV/atom